VASP calculation (GGA+U) on crystalline Li2Ni3TeO8 at its relaxed geometry.

a = 5.875 Å, b = 5.875 Å, c = 9.612 Å
α = 90.00°, β = 90.00°, γ = 120.00°
Positions (direct):
O 0.517 0.033 0.851
O 0.169 0.831 0.590
O 0.483 0.517 0.351
O 0.667 0.333 0.616
O 0.831 0.169 0.090
O 0.517 0.483 0.851
O 0.333 0.667 0.116
O 0.000 0.000 0.295
O 0.033 0.517 0.351
O 0.338 0.169 0.090
O 0.169 0.338 0.590
O 0.967 0.483 0.851
O 0.831 0.662 0.090
O 0.662 0.831 0.590
O 0.000 0.000 0.795
O 0.483 0.967 0.351
Li 0.000 0.000 0.987
Li 0.667 0.333 0.409
Li 0.333 0.667 0.909
Li 0.000 0.000 0.487
Ni 0.341 0.171 0.713
Ni 0.171 0.341 0.213
Ni 0.829 0.171 0.713
Ni 0.171 0.829 0.213
Ni 0.659 0.829 0.213
Ni 0.829 0.659 0.713
Te 0.333 0.667 0.483
Te 0.667 0.333 0.983

As for the space-group type: No. 186. The energy relative to the lowest polymorph listed for this composition comes out at 0.19 eV/f.u. The total energy comes out at -142.8 eV/cell.